# 1
# PBE YSbRh, relaxed
# - Raw total energy: -6.576 eV/atom
# - Spin magnetization: 0.00 Bohr magnetons per cell
# - Formation energy from raw total energies: -1.79 eV/f.u.
# - SG: I4mm (107)
data_YSbRh
_cell_length_a 6.004
_cell_length_b 6.004
_cell_length_c 3.429
_cell_angle_alpha 73.41
_cell_angle_beta 73.41
_cell_angle_gamma 33.19
_symmetry_space_group_name_H-M 'P 1'
_symmetry_Int_Tables_number 1
_symmetry_space_group_name_Hall 'P 1'
loop_
_atom_site_label
_atom_site_type_symbol
_atom_site_fract_x
_atom_site_fract_y
_atom_site_fract_z
Rh1 Rh 0.983 0.983 0.017
Sb1 Sb 0.361 0.361 0.639
Y1 Y 0.656 0.656 0.344

***

# 2
# PBE SiTeCl2, relaxed
# - Relative energy among the computed polymorphs: 0.323 eV/atom
# - Raw total energy: -3.064 eV/atom
# - Spin magnetization: 0.00 Bohr magnetons per cell
# - Formation energy from raw total energies: 0.00 eV/f.u.
# - SG: Cmmm (65)
data_SiTeCl2
_cell_length_a 3.348
_cell_length_b 3.348
_cell_length_c 11.962
_cell_angle_alpha 90.00
_cell_angle_beta 90.00
_cell_angle_gamma 122.97
_symmetry_space_group_name_H-M 'P 1'
_symmetry_Int_Tables_number 1
_symmetry_space_group_name_Hall 'P 1'
loop_
_atom_site_label
_atom_site_type_symbol
_atom_site_fract_x
_atom_site_fract_y
_atom_site_fract_z
Si1 Si 0.500 0.500 0.250
Te1 Te 0.500 0.500 0.750
Cl1 Cl 0.000 0.000 0.404
Cl2 Cl 0.000 0.000 0.096

***

# 3
# PBE Sc3AlIn, relaxed
# - Relative energy among the computed polymorphs: 0.000 eV/atom
# - Raw total energy: -5.445 eV/atom
# - Spin magnetization: 0.30 Bohr magnetons per cell
# - Energy of formation from the pure elements: -1.7 eV/f.u.
# - SG: Cmcm (63)
data_Sc3AlIn
_cell_length_a 4.537
_cell_length_b 4.539
_cell_length_c 10.801
_cell_angle_alpha 90.00
_cell_angle_beta 77.88
_cell_angle_gamma 90.00
_symmetry_space_group_name_H-M 'P 1'
_symmetry_Int_Tables_number 1
_symmetry_space_group_name_Hall 'P 1'
loop_
_atom_site_label
_atom_site_type_symbol
_atom_site_fract_x
_atom_site_fract_y
_atom_site_fract_z
Sc1 Sc 0.380 0.250 0.888
Sc2 Sc 0.880 0.750 0.888
Sc3 Sc 0.768 0.250 0.112
Sc4 Sc 0.268 0.750 0.112
Sc5 Sc 0.074 0.750 0.500
Sc6 Sc 0.574 0.250 0.500
In1 In 0.171 0.250 0.306
In2 In 0.477 0.750 0.694
Al1 Al 0.977 0.250 0.694
Al2 Al 0.671 0.750 0.306

***

# 4
# PBE LuScCu2, relaxed
# - Relative energy among the computed polymorphs: 0.009 eV/atom
# - Raw total energy: -5.039 eV/atom
# - Spin magnetization: 0.00 Bohr magnetons per cell
# - Energy of formation from the pure elements: -1.1 eV/f.u.
# - SG: Fm-3m (225)
data_LuScCu2
_cell_length_a 4.706
_cell_length_b 4.706
_cell_length_c 4.706
_cell_angle_alpha 60.00
_cell_angle_beta 60.00
_cell_angle_gamma 60.00
_symmetry_space_group_name_H-M 'P 1'
_symmetry_Int_Tables_number 1
_symmetry_space_group_name_Hall 'P 1'
loop_
_atom_site_label
_atom_site_type_symbol
_atom_site_fract_x
_atom_site_fract_y
_atom_site_fract_z
Cu1 Cu 0.750 0.750 0.750
Cu2 Cu 0.250 0.250 0.250
Sc1 Sc 0.000 0.000 0.000
Lu1 Lu 0.500 0.500 0.500

***

# 5
# PBE Zr2H2Ru, relaxed
# - Relative energy among the computed polymorphs: 0.152 eV/atom
# - Raw total energy: -7.037 eV/atom
# - Spin magnetization: 0.00 Bohr magnetons per cell
# - SG: P4/mmm (123)
data_Zr2H2Ru
_cell_length_a 3.184
_cell_length_b 3.184
_cell_length_c 6.454
_cell_angle_alpha 90.00
_cell_angle_beta 90.00
_cell_angle_gamma 90.00
_symmetry_space_group_name_H-M 'P 1'
_symmetry_Int_Tables_number 1
_symmetry_space_group_name_Hall 'P 1'
loop_
_atom_site_label
_atom_site_type_symbol
_atom_site_fract_x
_atom_site_fract_y
_atom_site_fract_z
Zr1 Zr 0.500 0.500 0.259
Zr2 Zr 0.500 0.500 0.741
Ru1 Ru 0.000 0.000 0.000
H1 H 0.500 0.000 0.500
H2 H 0.000 0.500 0.500

***

# 6
# PBE Sm2GaSn3, relaxed
# - Raw total energy: -4.367 eV/atom
# - Spin magnetization: 0.00 Bohr magnetons per cell
# - Energy of formation from the pure elements: -1.7 eV/f.u.
# - SG: Cmcm (63)
data_Sm2GaSn3
_cell_length_a 5.742
_cell_length_b 8.061
_cell_length_c 8.061
_cell_angle_alpha 109.27
_cell_angle_beta 90.00
_cell_angle_gamma 90.00
_symmetry_space_group_name_H-M 'P 1'
_symmetry_Int_Tables_number 1
_symmetry_space_group_name_Hall 'P 1'
loop_
_atom_site_label
_atom_site_type_symbol
_atom_site_fract_x
_atom_site_fract_y
_atom_site_fract_z
Sn1 Sn 0.500 0.827 0.173
Sn2 Sn 0.000 0.827 0.173
Sn3 Sn 0.250 0.418 0.418
Sn4 Sn 0.500 0.173 0.827
Sn5 Sn 0.750 0.582 0.582
Sn6 Sn 0.000 0.173 0.827
Sm1 Sm 0.250 0.835 0.544
Sm2 Sm 0.750 0.165 0.456
Sm3 Sm 0.250 0.544 0.835
Sm4 Sm 0.750 0.456 0.165
Ga1 Ga 0.750 0.870 0.870
Ga2 Ga 0.250 0.130 0.130